(1)
Density functional theory data (GGA-PBE) for crystalline TcOs3 at its relaxed geometry.

Lattice parameters (Å, degrees): 2.729 3.866 5.459 90.00 90.00 90.00
Sites, in units of the cell vectors:
Tc 0.000 0.000 0.000
Os 0.000 0.000 0.500
Os 0.500 0.500 0.251
Os 0.500 0.500 0.749

For the calculated volume, the calculation gives 14.40 Å³ per atom. The total energy is -10.92 eV per atom. The magnetization is 0.00 μB per atom. The energy relative to the elements is 94 meV/atom. The density of states at the Fermi level is 3.47 states/eV/f.u. As for the space group: No. 47.


(2)
Density functional theory data (GGA-PBE) for crystalline Ag3MoPd12 at its relaxed geometry.

Lattice parameters (Å, degrees): 3.979 3.979 15.942 90.00 90.00 90.00
Sites, in units of the cell vectors:
Ag 0.000 0.000 0.000
Ag 0.000 0.000 0.252
Ag 0.000 0.000 0.748
Mo 0.000 0.000 0.500
Pd 0.000 0.500 0.126
Pd 0.000 0.500 0.382
Pd 0.000 0.500 0.618
Pd 0.000 0.500 0.874
Pd 0.500 0.000 0.126
Pd 0.500 0.000 0.382
Pd 0.500 0.000 0.618
Pd 0.500 0.000 0.874
Pd 0.500 0.500 0.000
Pd 0.500 0.500 0.253
Pd 0.500 0.500 0.500
Pd 0.500 0.500 0.747

For the calculated volume, the calculation gives 15.78 Å³ per atom. The total energy is -5.14 eV per atom. The magnetization is 0.00 μB per atom. The energy relative to the elements is -34 meV/atom. The density of states at the Fermi level is 17.88 states/eV/f.u. As for the space group: No. 123.


(3)
Density functional theory data (GGA-PBE) for crystalline Ce2SmSi at its relaxed geometry.

Lattice parameters (Å, degrees): 4.333 4.286 11.147 90.00 100.72 90.00
Sites, in units of the cell vectors:
Ce 0.018 0.250 0.126
Ce 0.397 0.250 0.876
Ce 0.603 0.750 0.124
Ce 0.982 0.750 0.874
Sm 0.300 0.750 0.604
Sm 0.700 0.250 0.396
Si 0.176 0.750 0.327
Si 0.824 0.250 0.673

For the calculated volume, the calculation gives 25.42 Å³ per atom. The total energy is -5.89 eV per atom. The magnetization is 0.00 μB per atom. The density of states at the Fermi level is 7.19 states/eV/f.u. As for the space group: No. 11. The uncorrected formation energy is -390 meV/atom.


(4)
Density functional theory data (GGA-PBE) for crystalline Ni3OsI at its relaxed geometry.

Lattice parameters (Å, degrees): 4.596 4.596 4.596 90.00 90.00 90.00
Sites, in units of the cell vectors:
Ni 0.000 0.000 0.500
Ni 0.000 0.500 0.000
Ni 0.500 0.000 0.000
Os 0.000 0.000 0.000
I 0.500 0.500 0.500

For the calculated volume, the calculation gives 19.42 Å³ per atom. The total energy is -4.72 eV per atom. The magnetization is 0.00 μB per atom. The density of states at the Fermi level is 7.36 states/eV/f.u. As for the space group: No. 221. The uncorrected formation energy is 1303 meV/atom.


(5)
Density functional theory data (GGA-PBE) for crystalline Dy2HoZrS4 at its relaxed geometry.

Lattice parameters (Å, degrees): 6.660 3.858 6.662 90.00 109.74 90.00
Sites, in units of the cell vectors:
Dy 0.000 0.000 0.000
Dy 0.000 0.500 0.500
Ho 0.500 0.000 0.500
Zr 0.500 0.500 0.000
S 0.255 0.500 0.248
S 0.257 0.000 0.756
S 0.743 0.000 0.244
S 0.745 0.500 0.752

For the calculated volume, the calculation gives 20.14 Å³ per atom. The total energy is -6.68 eV per atom. The magnetization is 0.00 μB per atom. The density of states at the Fermi level is 3.51 states/eV/f.u. As for the space group: No. 10. The uncorrected formation energy is -1824 meV/atom.


(6)
Density functional theory data (GGA-PBE) for crystalline CsBaInPb2 at its relaxed geometry.

Lattice parameters (Å, degrees): 6.008 6.008 6.507 90.00 90.00 90.00
Sites, in units of the cell vectors:
Cs 0.000 0.000 0.000
Ba 0.500 0.500 0.000
In 0.500 0.500 0.500
Pb 0.000 0.500 0.500
Pb 0.500 0.000 0.500

For the calculated volume, the calculation gives 46.98 Å³ per atom. The total energy is -2.56 eV per atom. The magnetization is 0.00 μB per atom. The energy relative to the elements is 30 meV/atom. The density of states at the Fermi level is 2.90 states/eV/f.u. As for the space group: No. 123.